A plane-wave DFT calculation with PBE was carried out for a relaxed YSi2Au crystal.

```
YSi2Au
1.0
3.448 0.000 0.000
0.000 3.448 0.000
0.000 0.000 6.344
Au Si Y
1 2 1
direct
0.500 0.500 0.796
0.500 0.500 0.200
0.000 0.000 0.015
0.000 0.000 0.489
```

V in Å³ per atom: 18.85
Total energy in eV per formula unit: -21.654
Formation energy (no corrections) in eV per atom: -0.27